Entry 1:
VASP calculation (PBE) on LaCd2Ag4 after structural relaxation.

Results
Its energy relative to the elements is -226 meV per atom. Its total moment is 0.0 μB/cell. Its symmetry is I4/mmm. The value obtained for the energy above the most stable polymorph in this dataset is 0.0 meV per atom. For the total energy, the calculation gives -39.48 eV for the cell shown.

a = 7.297 Å, b = 7.297 Å, c = 5.660 Å
α = 90.00°, β = 90.00°, γ = 90.00°
Element x y z (fractional)
La: 0.000 0.000 0.000
La: 0.500 0.500 0.500
Cd: 0.000 0.500 0.250
Cd: 0.000 0.500 0.750
Cd: 0.500 0.000 0.250
Cd: 0.500 0.000 0.750
Ag: 0.193 0.193 0.500
Ag: 0.193 0.807 0.500
Ag: 0.307 0.307 0.000
Ag: 0.307 0.693 0.000
Ag: 0.693 0.307 0.000
Ag: 0.693 0.693 0.000
Ag: 0.807 0.193 0.500
Ag: 0.807 0.807 0.500

***

Entry 2:
VASP calculation (PBE) on La2CdAg after structural relaxation.

Results
Its energy relative to the elements is -91 meV per atom. Its total moment is 0.0 μB/cell. Its symmetry is R-3m. For the total energy, the calculation gives -41.95 eV for the cell shown.

a = 3.830 Å, b = 3.830 Å, c = 29.405 Å
α = 90.00°, β = 90.00°, γ = 120.00°
Element x y z (fractional)
La: 0.000 0.000 0.247
La: 0.000 0.000 0.753
La: 0.333 0.667 0.420
La: 0.333 0.667 0.913
La: 0.667 0.333 0.087
La: 0.667 0.333 0.580
Cd: 0.000 0.000 0.000
Cd: 0.333 0.667 0.667
Cd: 0.667 0.333 0.333
Ag: 0.000 0.000 0.500
Ag: 0.333 0.667 0.167
Ag: 0.667 0.333 0.833

***

Entry 3:
VASP calculation (PBE) on La5CdAg after structural relaxation.

Results
Its energy relative to the elements is -47 meV per atom. Its total moment is 0.0 μB/cell. Its symmetry is C2/c. For the total energy, the calculation gives -57.46 eV for the cell shown.

a = 6.125 Å, b = 6.125 Å, c = 12.478 Å
α = 100.79°, β = 100.79°, γ = 87.04°
Element x y z (fractional)
La: 0.016 0.984 0.750
La: 0.092 0.458 0.642
La: 0.226 0.499 0.941
La: 0.458 0.092 0.142
La: 0.499 0.226 0.441
La: 0.501 0.774 0.559
La: 0.542 0.908 0.858
La: 0.774 0.501 0.059
La: 0.908 0.542 0.358
La: 0.984 0.016 0.250
Cd: 0.377 0.623 0.250
Cd: 0.623 0.377 0.750
Ag: 0.000 0.000 0.000
Ag: 0.000 0.000 0.500

***

Entry 4:
VASP calculation (PBE) on LaCd3Ag after structural relaxation.

Results
Its energy relative to the elements is 875 meV per atom. Its total moment is 0.0 μB/cell. Its symmetry is Pm-3m. The value obtained for the energy above the most stable polymorph in this dataset is 1116.0 meV per atom. For the total energy, the calculation gives -6.15 eV for the cell shown.

a = 6.158 Å, b = 6.158 Å, c = 6.158 Å
α = 90.00°, β = 90.00°, γ = 90.00°
Element x y z (fractional)
La: 0.000 0.000 0.000
Cd: 0.000 0.000 0.500
Cd: 0.000 0.500 0.000
Cd: 0.500 0.000 0.000
Ag: 0.500 0.500 0.500

***

Entry 5:
VASP calculation (PBE) on La2CdAg after structural relaxation.

Results
Its energy relative to the elements is -283 meV per atom. Its total moment is 0.0 μB/cell. Its symmetry is Pmm2. For the total energy, the calculation gives -14.75 eV for the cell shown.

a = 3.835 Å, b = 5.353 Å, c = 5.607 Å
α = 90.00°, β = 90.00°, γ = 90.00°
Element x y z (fractional)
La: 0.000 0.000 0.000
La: 0.000 0.500 0.431
Cd: 0.500 0.000 0.517
Ag: 0.500 0.500 0.906

***

Entry 6:
VASP calculation (PBE) on LaCd3Ag2 after structural relaxation.

Results
Its energy relative to the elements is -203 meV per atom. Its total moment is 0.0 μB/cell. Its symmetry is C2/m. For the total energy, the calculation gives -29.19 eV for the cell shown.

a = 8.879 Å, b = 8.879 Å, c = 7.505 Å
α = 108.85°, β = 108.85°, γ = 30.60°
Element x y z (fractional)
La: 0.117 0.117 0.175
La: 0.883 0.883 0.825
Cd: 0.068 0.068 0.680
Cd: 0.306 0.306 0.078
Cd: 0.369 0.369 0.498
Cd: 0.631 0.631 0.502
Cd: 0.694 0.694 0.922
Cd: 0.932 0.932 0.320
Ag: 0.236 0.236 0.663
Ag: 0.484 0.484 0.173
Ag: 0.516 0.516 0.827
Ag: 0.764 0.764 0.337

***

Question: Among the records above, which one has the lowest energy relative to the elements?
Answer: number 5

***

Question: What is the total energy in the fifth record?
Answer: -14.75 eV for the cell shown

***

Copy entry 6 word for word.
VASP calculation (PBE) on LaCd3Ag2 after structural relaxation.

Results
Its energy relative to the elements is -203 meV per atom. Its total moment is 0.0 μB/cell. Its symmetry is C2/m. For the total energy, the calculation gives -29.19 eV for the cell shown.

a = 8.879 Å, b = 8.879 Å, c = 7.505 Å
α = 108.85°, β = 108.85°, γ = 30.60°
Element x y z (fractional)
La: 0.117 0.117 0.175
La: 0.883 0.883 0.825
Cd: 0.068 0.068 0.680
Cd: 0.306 0.306 0.078
Cd: 0.369 0.369 0.498
Cd: 0.631 0.631 0.502
Cd: 0.694 0.694 0.922
Cd: 0.932 0.932 0.320
Ag: 0.236 0.236 0.663
Ag: 0.484 0.484 0.173
Ag: 0.516 0.516 0.827
Ag: 0.764 0.764 0.337